## Sr3Tl (PBE)

Data for a geometry-optimized Sr3Tl structure.

The structure in POSCAR format:
```
Sr3Tl
1.0
7.499 -0.812 -0.277
-4.223 6.250 -0.277
-1.270 -2.107 8.707
Sr Tl
6 2
direct
0.783 0.456 0.236 Sr
0.456 0.783 0.236 Sr
0.828 0.828 0.659 Sr
0.172 0.172 0.341 Sr
0.544 0.217 0.764 Sr
0.217 0.544 0.764 Sr
0.871 0.129 0.000 Tl
0.129 0.871 0.000 Tl
```

Computed properties:
energy = -7.9 eV per formula unit
calculated formation energy = -125 meV/atom
magnetization = 0.000 μB/atom
Fermi-level density of states = 1.24 states/eV/atom


## PaAlCoRe (PBE)

Data for a geometry-optimized PaAlCoRe structure.

The structure in POSCAR format:
```
PaAlCoRe
1.0
4.561 0.000 0.000
2.281 3.950 0.000
2.281 1.317 3.724
Re Pa Co Al
1 1 1 1
direct
0.250 0.250 0.250 Re
0.000 0.000 0.000 Pa
0.750 0.750 0.750 Co
0.500 0.500 0.500 Al
```

Computed properties:
energy = -33.4 eV per formula unit
calculated formation energy = -163 meV/atom
magnetization = 0.000 μB/atom
Fermi-level density of states = 0.67 states/eV/atom


## NaLa2Pu (PBE)

Data for a geometry-optimized NaLa2Pu structure.

The structure in POSCAR format:
```
NaLa2Pu
1.0
-1.162 0.865 3.220
3.042 -1.121 1.399
4.161 9.860 -1.146
Na La Pu
1 2 1
direct
0.500 0.500 0.500 Na
0.000 0.000 0.782 La
0.000 0.000 0.218 La
0.500 0.500 0.000 Pu
```

Computed properties:
energy = -24.9 eV per formula unit
calculated formation energy = 163 meV/atom
magnetization = 1.394 μB/atom
Fermi-level density of states = 2.32 states/eV/atom


## SmHg2Pd8 (PBE)

Data for a geometry-optimized SmHg2Pd8 structure.

The structure in POSCAR format:
```
SmHg2Pd8
1.0
-4.195 1.718 2.064
-3.451 -1.764 6.448
1.994 4.153 6.592
Sm Hg Pd
1 2 8
direct
0.500 0.000 0.000 Sm
0.000 0.315 0.369 Hg
0.000 0.685 0.631 Hg
0.764 0.104 0.269 Pd
0.764 0.373 0.731 Pd
0.254 0.494 0.000 Pd
0.500 0.804 0.393 Pd
0.500 0.196 0.607 Pd
0.746 0.506 0.000 Pd
0.236 0.627 0.269 Pd
0.236 0.896 0.731 Pd
```

Computed properties:
energy = -49.9 eV per formula unit
calculated formation energy = -275 meV/atom
magnetization = 0.000 μB/atom
Fermi-level density of states = 0.55 states/eV/atom


## PaB2 (PBE)

Data for a geometry-optimized PaB2 structure.

The structure in POSCAR format:
```
PaB2
1.0
2.827 0.000 -1.453
-0.070 4.093 -0.137
-0.156 0.103 3.173
Pa B
1 2
direct
0.000 0.000 0.000 Pa
0.667 0.500 0.333 B
0.333 0.500 0.667 B
```

Computed properties:
energy = -24.8 eV per formula unit
calculated formation energy = -663 meV/atom
magnetization = 0.000 μB/atom
Fermi-level density of states = 0.46 states/eV/atom


## Al2AgMo (PBE)

Data for a geometry-optimized Al2AgMo structure.

The structure in POSCAR format:
```
Al2AgMo
1.0
0.000 3.142 3.142
3.142 0.000 3.142
3.142 3.142 0.000
Mo Al Ag
1 2 1
direct
0.000 0.000 0.000 Mo
0.250 0.250 0.250 Al
0.750 0.750 0.750 Al
0.500 0.500 0.500 Ag
```

Computed properties:
energy = -21.0 eV per formula unit
calculated formation energy = 43 meV/atom
magnetization = 0.000 μB/atom
Fermi-level density of states = 0.65 states/eV/atom


Please write out number 6 again, unchanged.
## Al2AgMo (PBE)

Data for a geometry-optimized Al2AgMo structure.

The structure in POSCAR format:
```
Al2AgMo
1.0
0.000 3.142 3.142
3.142 0.000 3.142
3.142 3.142 0.000
Mo Al Ag
1 2 1
direct
0.000 0.000 0.000 Mo
0.250 0.250 0.250 Al
0.750 0.750 0.750 Al
0.500 0.500 0.500 Ag
```

Computed properties:
energy = -21.0 eV per formula unit
calculated formation energy = 43 meV/atom
magnetization = 0.000 μB/atom
Fermi-level density of states = 0.65 states/eV/atom


What did the fifth record say?
## PaB2 (PBE)

Data for a geometry-optimized PaB2 structure.

The structure in POSCAR format:
```
PaB2
1.0
2.827 0.000 -1.453
-0.070 4.093 -0.137
-0.156 0.103 3.173
Pa B
1 2
direct
0.000 0.000 0.000 Pa
0.667 0.500 0.333 B
0.333 0.500 0.667 B
```

Computed properties:
energy = -24.8 eV per formula unit
calculated formation energy = -663 meV/atom
magnetization = 0.000 μB/atom
Fermi-level density of states = 0.46 states/eV/atom